1.
Below is a geometry-optimized MnBe3 structure, with properties calculated at the PBE level.

Fermi-level density of states: 1.79 states/eV/f.u.
VASP energy: -5.1178 eV/atom
energy of formation from the pure elements: -0.031 eV per atom

```
data_MnBe3
_symmetry_space_group_name_H-M 'P 1'
_symmetry_Int_Tables_number 1
_cell_length_a 2.518
_cell_length_b 2.518
_cell_length_c 5.557
_cell_angle_alpha 90.00
_cell_angle_beta 90.00
_cell_angle_gamma 90.00
loop_
_symmetry_equiv_pos_as_xyz
'x,y,z'
loop_
_atom_site_label
_atom_site_type_symbol
_atom_site_fract_x
_atom_site_fract_y
_atom_site_fract_z
Mn1 Mn 0.000 0.000 0.000
Be1 Be 0.000 0.000 0.500
Be2 Be 0.500 0.500 0.275
Be3 Be 0.500 0.500 0.725
```



2.
Below is a geometry-optimized TiSn3Pt structure, with properties calculated at the PBE level.

Fermi-level density of states: 10.38 states/eV/f.u.
VASP energy: -4.6496 eV/atom
ΔE to the lowest computed polymorph: 0 meV/atom
energy of formation from the pure elements: 0.539 eV per atom

```
data_TiSn3Pt
_symmetry_space_group_name_H-M 'P 1'
_symmetry_Int_Tables_number 1
_cell_length_a 5.194
_cell_length_b 5.194
_cell_length_c 5.194
_cell_angle_alpha 90.00
_cell_angle_beta 90.00
_cell_angle_gamma 90.00
loop_
_symmetry_equiv_pos_as_xyz
'x,y,z'
loop_
_atom_site_label
_atom_site_type_symbol
_atom_site_fract_x
_atom_site_fract_y
_atom_site_fract_z
Ti1 Ti 0.000 0.000 0.000
Sn1 Sn 0.000 0.500 0.500
Sn2 Sn 0.500 0.000 0.500
Sn3 Sn 0.500 0.500 0.000
Pt1 Pt 0.500 0.500 0.500
```



3.
Below is a geometry-optimized DyLuMn4 structure, with properties calculated at the PBE level.

Fermi-level density of states: 8.68 states/eV/f.u.
VASP energy: -7.5487 eV/atom
energy of formation from the pure elements: 0.085 eV per atom

```
data_DyLuMn4
_symmetry_space_group_name_H-M 'P 1'
_symmetry_Int_Tables_number 1
_cell_length_a 5.068
_cell_length_b 5.068
_cell_length_c 5.068
_cell_angle_alpha 60.00
_cell_angle_beta 60.00
_cell_angle_gamma 60.00
loop_
_symmetry_equiv_pos_as_xyz
'x,y,z'
loop_
_atom_site_label
_atom_site_type_symbol
_atom_site_fract_x
_atom_site_fract_y
_atom_site_fract_z
Dy1 Dy 0.000 0.000 0.000
Lu1 Lu 0.750 0.750 0.750
Mn1 Mn 0.375 0.375 0.375
Mn2 Mn 0.375 0.375 0.874
Mn3 Mn 0.375 0.874 0.375
Mn4 Mn 0.874 0.375 0.375
```



4.
Below is a geometry-optimized Mg2SeF2 structure, with properties calculated at the PBE level.

Fermi-level density of states: 0.00 states/eV/f.u.
VASP energy: -4.4881 eV/atom
ΔE to the lowest computed polymorph: 0 meV/atom
uncorrected formation energy: -2.405 eV/atom

```
data_Mg2SeF2
_symmetry_space_group_name_H-M 'P 1'
_symmetry_Int_Tables_number 1
_cell_length_a 6.117
_cell_length_b 6.117
_cell_length_c 6.117
_cell_angle_alpha 146.22
_cell_angle_beta 146.22
_cell_angle_gamma 48.52
loop_
_symmetry_equiv_pos_as_xyz
'x,y,z'
loop_
_atom_site_label
_atom_site_type_symbol
_atom_site_fract_x
_atom_site_fract_y
_atom_site_fract_z
Mg1 Mg 0.145 0.145 0.000
Mg2 Mg 0.855 0.855 0.000
Se1 Se 0.500 0.500 0.000
F1 F 0.250 0.750 0.500
F2 F 0.750 0.250 0.500
```



5.
Below is a geometry-optimized Ho6TmSc3 structure, with properties calculated at the PBE level.

Fermi-level density of states: 13.95 states/eV/f.u.
VASP energy: -4.9259 eV/atom
ΔE to the lowest computed polymorph: 40 meV/atom
energy of formation from the pure elements: 0.167 eV per atom

```
data_Ho6TmSc3
_symmetry_space_group_name_H-M 'P 1'
_symmetry_Int_Tables_number 1
_cell_length_a 10.587
_cell_length_b 10.587
_cell_length_c 6.101
_cell_angle_alpha 90.00
_cell_angle_beta 90.00
_cell_angle_gamma 120.97
loop_
_symmetry_equiv_pos_as_xyz
'x,y,z'
loop_
_atom_site_label
_atom_site_type_symbol
_atom_site_fract_x
_atom_site_fract_y
_atom_site_fract_z
Ho1 Ho 0.040 0.449 0.978
Ho2 Ho 0.047 0.953 0.500
Ho3 Ho 0.295 0.373 0.157
Ho4 Ho 0.298 0.702 0.288
Ho5 Ho 0.373 0.295 0.657
Ho6 Ho 0.449 0.040 0.478
Ho7 Ho 0.551 0.960 0.978
Ho8 Ho 0.627 0.705 0.157
Ho9 Ho 0.702 0.298 0.788
Ho10 Ho 0.705 0.627 0.657
Ho11 Ho 0.953 0.047 0.000
Ho12 Ho 0.960 0.551 0.478
Tm1 Tm 0.209 0.791 0.802
Tm2 Tm 0.791 0.209 0.302
Sc1 Sc 0.073 0.298 0.557
Sc2 Sc 0.298 0.073 0.057
Sc3 Sc 0.387 0.613 0.729
Sc4 Sc 0.613 0.387 0.229
Sc5 Sc 0.702 0.927 0.557
Sc6 Sc 0.927 0.702 0.057
```



6.
Below is a geometry-optimized K4SnHg2As2 structure, with properties calculated at the PBE level.

Fermi-level density of states: 3.89 states/eV/f.u.
VASP energy: -2.2645 eV/atom
energy of formation from the pure elements: -0.232 eV per atom

```
data_K4SnHg2As2
_symmetry_space_group_name_H-M 'P 1'
_symmetry_Int_Tables_number 1
_cell_length_a 9.209
_cell_length_b 9.209
_cell_length_c 4.685
_cell_angle_alpha 104.68
_cell_angle_beta 104.68
_cell_angle_gamma 63.74
loop_
_symmetry_equiv_pos_as_xyz
'x,y,z'
loop_
_atom_site_label
_atom_site_type_symbol
_atom_site_fract_x
_atom_site_fract_y
_atom_site_fract_z
K1 K 0.117 0.619 0.867
K2 K 0.381 0.883 0.133
K3 K 0.619 0.117 0.867
K4 K 0.883 0.381 0.133
Sn1 Sn 0.000 0.000 0.500
Hg1 Hg 0.303 0.303 0.303
Hg2 Hg 0.697 0.697 0.697
As1 As 0.184 0.184 0.684
As2 As 0.816 0.816 0.316
```



7.
Below is a geometry-optimized KMgAl2Au4 structure, with properties calculated at the PBE level.

Fermi-level density of states: 1.62 states/eV/f.u.
VASP energy: -3.2805 eV/atom
energy of formation from the pure elements: -0.370 eV per atom

```
data_KMgAl2Au4
_symmetry_space_group_name_H-M 'P 1'
_symmetry_Int_Tables_number 1
_cell_length_a 10.546
_cell_length_b 10.546
_cell_length_c 10.546
_cell_angle_alpha 24.41
_cell_angle_beta 24.41
_cell_angle_gamma 24.41
loop_
_symmetry_equiv_pos_as_xyz
'x,y,z'
loop_
_atom_site_label
_atom_site_type_symbol
_atom_site_fract_x
_atom_site_fract_y
_atom_site_fract_z
K1 K 0.000 0.000 0.000
Mg1 Mg 0.500 0.500 0.500
Al1 Al 0.236 0.236 0.236
Al2 Al 0.764 0.764 0.764
Au1 Au 0.129 0.129 0.129
Au2 Au 0.411 0.411 0.411
Au3 Au 0.589 0.589 0.589
Au4 Au 0.871 0.871 0.871
```



8.
Below is a geometry-optimized LaAsW2 structure, with properties calculated at the PBE level.

Fermi-level density of states: 3.73 states/eV/f.u.
VASP energy: -7.9824 eV/atom
energy of formation from the pure elements: 0.888 eV per atom

```
data_LaAsW2
_symmetry_space_group_name_H-M 'P 1'
_symmetry_Int_Tables_number 1
_cell_length_a 5.721
_cell_length_b 5.721
_cell_length_c 2.827
_cell_angle_alpha 90.00
_cell_angle_beta 90.00
_cell_angle_gamma 119.92
loop_
_symmetry_equiv_pos_as_xyz
'x,y,z'
loop_
_atom_site_label
_atom_site_type_symbol
_atom_site_fract_x
_atom_site_fract_y
_atom_site_fract_z
La1 La 0.000 0.000 0.000
As1 As 0.500 0.500 0.000
W1 W 0.000 0.500 0.500
W2 W 0.500 0.000 0.500
```



9.
Below is a geometry-optimized Er4Sb2Te structure, with properties calculated at the PBE level.

Fermi-level density of states: 4.82 states/eV/f.u.
VASP energy: -5.0359 eV/atom
uncorrected formation energy: -0.802 eV/atom

```
data_Er4Sb2Te
_symmetry_space_group_name_H-M 'P 1'
_symmetry_Int_Tables_number 1
_cell_length_a 7.623
_cell_length_b 6.725
_cell_length_c 8.919
_cell_angle_alpha 90.00
_cell_angle_beta 113.00
_cell_angle_gamma 90.00
loop_
_symmetry_equiv_pos_as_xyz
'x,y,z'
loop_
_atom_site_label
_atom_site_type_symbol
_atom_site_fract_x
_atom_site_fract_y
_atom_site_fract_z
Er1 Er 0.088 0.250 0.079
Er2 Er 0.184 0.750 0.344
Er3 Er 0.264 0.003 0.767
Er4 Er 0.264 0.497 0.767
Er5 Er 0.736 0.503 0.233
Er6 Er 0.736 0.997 0.233
Er7 Er 0.816 0.250 0.656
Er8 Er 0.912 0.750 0.921
Sb1 Sb 0.083 0.250 0.445
Sb2 Sb 0.350 0.750 0.077
Sb3 Sb 0.650 0.250 0.923
Sb4 Sb 0.917 0.750 0.555
Te1 Te 0.483 0.250 0.345
Te2 Te 0.517 0.750 0.655
```



10.
Below is a geometry-optimized ZnGaIr structure, with properties calculated at the PBE level.

Fermi-level density of states: 1.23 states/eV/f.u.
VASP energy: -4.6066 eV/atom
energy of formation from the pure elements: -0.219 eV per atom

```
data_ZnGaIr
_symmetry_space_group_name_H-M 'P 1'
_symmetry_Int_Tables_number 1
_cell_length_a 4.189
_cell_length_b 4.189
_cell_length_c 4.189
_cell_angle_alpha 60.00
_cell_angle_beta 60.00
_cell_angle_gamma 60.00
loop_
_symmetry_equiv_pos_as_xyz
'x,y,z'
loop_
_atom_site_label
_atom_site_type_symbol
_atom_site_fract_x
_atom_site_fract_y
_atom_site_fract_z
Zn1 Zn 0.000 0.000 0.000
Ga1 Ga 0.500 0.500 0.500
Ir1 Ir 0.250 0.250 0.250
```



11.
Below is a geometry-optimized LiAg2Pd8 structure, with properties calculated at the PBE level.

Fermi-level density of states: 13.05 states/eV/f.u.
VASP energy: -4.4428 eV/atom
ΔE to the lowest computed polymorph: 115 meV/atom
energy of formation from the pure elements: 0.026 eV per atom

```
data_LiAg2Pd8
_symmetry_space_group_name_H-M 'P 1'
_symmetry_Int_Tables_number 1
_cell_length_a 7.447
_cell_length_b 7.447
_cell_length_c 4.937
_cell_angle_alpha 94.18
_cell_angle_beta 94.18
_cell_angle_gamma 41.02
loop_
_symmetry_equiv_pos_as_xyz
'x,y,z'
loop_
_atom_site_label
_atom_site_type_symbol
_atom_site_fract_x
_atom_site_fract_y
_atom_site_fract_z
Li1 Li 0.000 0.000 0.000
Ag1 Ag 0.181 0.181 0.886
Ag2 Ag 0.819 0.819 0.114
Pd1 Pd 0.165 0.666 0.613
Pd2 Pd 0.257 0.257 0.401
Pd3 Pd 0.334 0.835 0.387
Pd4 Pd 0.414 0.414 0.107
Pd5 Pd 0.586 0.586 0.893
Pd6 Pd 0.666 0.165 0.613
Pd7 Pd 0.743 0.743 0.599
Pd8 Pd 0.835 0.334 0.387
```



12.
Below is a geometry-optimized Rb2Si2S5 structure, with properties calculated at the PBE level.

VASP energy: -4.4670 eV/atom
uncorrected formation energy: -0.754 eV/atom

```
data_Rb2Si2S5
_symmetry_space_group_name_H-M 'P 1'
_symmetry_Int_Tables_number 1
_cell_length_a 6.537
_cell_length_b 6.537
_cell_length_c 8.404
_cell_angle_alpha 98.78
_cell_angle_beta 98.78
_cell_angle_gamma 43.92
loop_
_symmetry_equiv_pos_as_xyz
'x,y,z'
loop_
_atom_site_label
_atom_site_type_symbol
_atom_site_fract_x
_atom_site_fract_y
_atom_site_fract_z
Rb1 Rb 0.089 0.089 0.319
Rb2 Rb 0.911 0.911 0.681
Si1 Si 0.344 0.344 0.105
Si2 Si 0.656 0.656 0.895
S1 S 0.188 0.188 0.943
S2 S 0.375 0.375 0.353
S3 S 0.500 0.500 0.000
S4 S 0.625 0.625 0.647
S5 S 0.812 0.812 0.057
```